1.
An optimized crystal structure of Cr2PtBr, computed with PBE-GGA.

Cell: 4.044 3.152 12.005 Å, 90.00 90.00 90.00°
Space group Amm2 (No. 38)
Inequivalent atoms, fractional coordinates:
1 Cr 0.000 0.000 0.000 x2
2 Cr 0.500 0.000 0.471 x2
3 Pt 0.500 0.000 0.137 x2
4 Br 0.000 0.000 0.321 x2

Results
ΔE to the lowest computed polymorph: 0.217 eV per atom
Fermi-level density of states: 9.1 states/eV/cell
ΔE_f (raw): 141 kJ/mol of formula units
V: 19.129 A^3/atom
E_tot: -51.000 eV for the cell shown

=====

2.
An optimized crystal structure of YSi2P, computed with PBE-GGA.

Cell: 3.856 3.887 6.100 Å, 90.00 108.33 90.00°
Space group Pm (No. 6)
Inequivalent atoms, fractional coordinates:
1 Y 0.000 0.000 0.000 x1
2 Si 0.251 0.000 0.510 x1
3 Si 0.367 0.500 0.733 x1
4 P 0.560 0.500 0.121 x1

Results
Fermi-level density of states: 1.3 states/eV/cell
ΔE_f (raw): -156 kJ/mol of formula units
V: 21.692 A^3/atom
E_tot: -24.340 eV for the cell shown

=====

Repeat the first record exactly.
An optimized crystal structure of Cr2PtBr, computed with PBE-GGA.

Cell: 4.044 3.152 12.005 Å, 90.00 90.00 90.00°
Space group Amm2 (No. 38)
Inequivalent atoms, fractional coordinates:
1 Cr 0.000 0.000 0.000 x2
2 Cr 0.500 0.000 0.471 x2
3 Pt 0.500 0.000 0.137 x2
4 Br 0.000 0.000 0.321 x2

Results
ΔE to the lowest computed polymorph: 0.217 eV per atom
Fermi-level density of states: 9.1 states/eV/cell
ΔE_f (raw): 141 kJ/mol of formula units
V: 19.129 A^3/atom
E_tot: -51.000 eV for the cell shown

=====

V of number 2 (YSi2P)? 21.692 A^3/atom

=====

Look up the Fermi-level density of states of the first one. 9.1 states/eV/cell